w) Entry from the Alexandria database: Be5Os3 after structural relaxation (PBE).

Summary:
M_tot = 0.0 μB per formula unit

The structure in CIF format:
```
data_Be5Os3
_cell_length_a 5.894
_cell_length_b 7.312
_cell_length_c 3.869
_cell_angle_alpha 90.00
_cell_angle_beta 90.00
_cell_angle_gamma 90.00
_symmetry_space_group_name_H-M 'C m m m'
_symmetry_Int_Tables_number 65
_symmetry_space_group_name_Hall '-C 2 2'
loop_
_atom_site_label
_atom_site_fract_x
_atom_site_fract_y
_atom_site_fract_z
_atom_site_occupancy
Be1 0.000 0.000 0.000 1
Be2 0.214 0.500 0.500 1
Be3 0.250 0.250 0.000 1
Os1 0.000 0.217 0.500 1
Os2 0.000 0.500 0.000 1
```

---

x) Entry from the Alexandria database: Be5Os3 after structural relaxation (PBE).

Summary:
M_tot = 0.0 μB per formula unit

The structure in CIF format:
```
data_Be5Os3
_cell_length_a 4.406
_cell_length_b 6.041
_cell_length_c 6.979
_cell_angle_alpha 92.80
_cell_angle_beta 107.52
_cell_angle_gamma 110.01
_symmetry_space_group_name_H-M 'P -1'
_symmetry_Int_Tables_number 2
loop_
_symmetry_equiv_pos_as_xyz
'x,y,z'
'-x,-y,-z'
loop_
_atom_site_label
_atom_site_fract_x
_atom_site_fract_y
_atom_site_fract_z
_atom_site_occupancy
Be1 0.097 0.307 0.383 1
Be2 0.101 0.732 0.389 1
Be3 0.182 0.020 0.265 1
Be4 0.185 0.548 0.146 1
Be5 0.318 0.296 0.937 1
Os1 0.182 0.857 0.954 1
Os2 0.348 0.095 0.640 1
Os3 0.390 0.601 0.674 1
```

---

The structure shown above that is most stable: x).